a:
The following is a PBE calculation of a relaxed structure of NaPbSeCl, from Alexandria via LeMat-Bulk.

a b c (Å): 4.2525 4.2525 21.6122
angles (deg): 90.00 90.00 120.00
Space group R3m (No. 160, hexagonal axes)
Inequivalent atoms, fractional coordinates:
Na (0.0000, 0.0000, 0.0000) x3
Pb (0.0000, 0.0000, 0.4976) x3
Se (0.0000, 0.0000, 0.7575) x3
Cl (0.0000, 0.0000, 0.2674) x3

---

b:
The following is a PBE calculation of a relaxed structure of NaPbSeCl, from Alexandria via LeMat-Bulk.

a b c (Å): 7.3553 7.3553 7.3553
angles (deg): 90.00 90.00 90.00
Space group F-43m (No. 216)
Inequivalent atoms, fractional coordinates:
Na (0.0000, 0.0000, 0.0000) x4
Pb (0.0000, 0.0000, 0.5000) x4
Se (0.2500, 0.2500, 0.2500) x4
Cl (0.2500, 0.2500, 0.7500) x4

---

Energetically preferred structure: a | next structure: +0.184 eV/atom